Record 1
## Sc2TlInRe (PBE-GGA)

Data for a relaxed Sc2TlInRe crystal.

Results
As for the density of states at the Fermi level: 2.7 states/eV/cell. Its space group is P4/mmm, No. 123. For the size of the total moment, the calculation gives 0.0000 μB/atom. The total energy comes out at -0.427 Ry per atom.

Unit cell a=5.069 b=5.069 c=5.273 alpha=90.00 beta=90.00 gamma=90.00
Sites, in units of the cell vectors:
Sc (0.000, 0.500, 0.000)
Sc (0.500, 0.000, 0.000)
Tl (0.000, 0.000, 0.500)
In (0.500, 0.500, 0.500)
Re (0.500, 0.500, 0.000)

=====

Record 2
## NiAs3Pd (PBE-GGA)

Data for a relaxed NiAs3Pd crystal.

Results
As for the density of states at the Fermi level: 3.4 states/eV/cell. Its space group is Pm-3m, No. 221. For the size of the total moment, the calculation gives 0.0000 μB/atom. The total energy comes out at -0.336 Ry per atom.

Unit cell a=4.577 b=4.577 c=4.577 alpha=90.00 beta=90.00 gamma=90.00
Sites, in units of the cell vectors:
Ni (0.000, 0.000, 0.000)
As (0.000, 0.000, 0.500)
As (0.000, 0.500, 0.000)
As (0.500, 0.000, 0.000)
Pd (0.500, 0.500, 0.500)

=====

Record 3
## CrCoBr (PBE-GGA)

Data for a relaxed CrCoBr crystal.

Results
The formation energy from raw total energies is 0.756 eV/atom. As for the density of states at the Fermi level: 3.4 states/eV/cell. Its space group is P3m1, No. 156. For the size of the total moment, the calculation gives 1.2974 μB/atom. The total energy comes out at -0.395 Ry per atom.

Unit cell a=4.041 b=4.041 c=3.257 alpha=90.00 beta=90.00 gamma=120.00
Sites, in units of the cell vectors:
Cr (0.000, 0.000, 0.000)
Co (0.667, 0.333, 0.464)
Br (0.333, 0.667, 0.534)

=====

Record 4
## Dy2ErRu3 (PBE-GGA)

Data for a relaxed Dy2ErRu3 crystal.

Results
As for the density of states at the Fermi level: 6.6 states/eV/cell. Its space group is Cmmm, No. 65. For the size of the total moment, the calculation gives 0.0000 μB/atom. The total energy comes out at -0.535 Ry per atom.

Unit cell a=7.570 b=7.570 c=3.399 alpha=90.00 beta=90.00 gamma=143.17
Sites, in units of the cell vectors:
Dy (0.166, 0.834, 0.000)
Dy (0.834, 0.166, 0.000)
Er (0.500, 0.500, 0.000)
Ru (0.000, 0.000, 0.500)
Ru (0.334, 0.666, 0.500)
Ru (0.666, 0.334, 0.500)

=====

Record 5
## Th2HgBr8 (PBE-GGA)

Data for a relaxed Th2HgBr8 crystal.

Results
The formation energy from raw total energies is -1.494 eV/atom. As for the density of states at the Fermi level: 0.0 states/eV/cell. Its space group is C2/m, No. 12. For the size of the total moment, the calculation gives 0.0000 μB/atom. The total energy comes out at -0.300 Ry per atom.

Unit cell a=8.222 b=8.222 c=5.877 alpha=94.49 beta=94.49 gamma=113.09
Sites, in units of the cell vectors:
Th (0.180, 0.820, 0.000)
Th (0.820, 0.180, 0.000)
Hg (0.500, 0.500, 0.500)
Br (0.091, 0.091, 0.270)
Br (0.172, 0.448, 0.928)
Br (0.233, 0.767, 0.500)
Br (0.448, 0.172, 0.928)
Br (0.552, 0.828, 0.072)
Br (0.767, 0.233, 0.500)
Br (0.828, 0.552, 0.072)
Br (0.909, 0.909, 0.730)

=====

Record 6
## PmPr4Ho5 (PBE-GGA)

Data for a relaxed PmPr4Ho5 crystal.

Results
As for the density of states at the Fermi level: 14.0 states/eV/cell. Its space group is P4/mmm, No. 123. For the size of the total moment, the calculation gives 0.0000 μB/atom. The total energy comes out at -0.342 Ry per atom.

Unit cell a=3.633 b=3.633 c=25.250 alpha=90.00 beta=90.00 gamma=90.00
Sites, in units of the cell vectors:
Pm (0.000, 0.000, 0.000)
Pr (0.000, 0.000, 0.199)
Pr (0.000, 0.000, 0.400)
Pr (0.000, 0.000, 0.600)
Pr (0.000, 0.000, 0.801)
Ho (0.500, 0.500, 0.099)
Ho (0.500, 0.500, 0.300)
Ho (0.500, 0.500, 0.500)
Ho (0.500, 0.500, 0.700)
Ho (0.500, 0.500, 0.901)

=====

Record 7
## K3Pm3GeO8 (PBE-GGA)

Data for a relaxed K3Pm3GeO8 crystal.

Results
The formation energy from raw total energies is -2.390 eV/atom. As for the density of states at the Fermi level: 0.0 states/eV/cell. Its space group is R-3m, No. 166. For the size of the total moment, the calculation gives 0.0000 μB/atom. The total energy comes out at -0.479 Ry per atom.

Unit cell a=7.477 b=7.477 c=7.477 alpha=55.26 beta=55.26 gamma=55.26
Sites, in units of the cell vectors:
K (0.000, 0.500, 0.500)
K (0.500, 0.000, 0.500)
K (0.500, 0.500, 0.000)
Pm (0.000, 0.000, 0.500)
Pm (0.000, 0.500, 0.000)
Pm (0.500, 0.000, 0.000)
Ge (0.500, 0.500, 0.500)
O (0.229, 0.229, 0.229)
O (0.271, 0.700, 0.700)
O (0.300, 0.300, 0.729)
O (0.300, 0.729, 0.300)
O (0.700, 0.271, 0.700)
O (0.700, 0.700, 0.271)
O (0.729, 0.300, 0.300)
O (0.771, 0.771, 0.771)

=====

Record 8
## Eu2HPt (PBE-GGA)

Data for a relaxed Eu2HPt crystal.

Results
As for the density of states at the Fermi level: 13.9 states/eV/cell. Its space group is R-3m, No. 166. For the size of the total moment, the calculation gives 3.5986 μB/atom. The total energy comes out at -0.596 Ry per atom.

Unit cell a=6.836 b=6.836 c=6.836 alpha=34.61 beta=34.61 gamma=34.61
Sites, in units of the cell vectors:
Eu (0.243, 0.243, 0.243)
Eu (0.757, 0.757, 0.757)
H (0.500, 0.500, 0.500)
Pt (0.000, 0.000, 0.000)

=====

Record 9
## SrHfSeO2 (PBE-GGA)

Data for a relaxed SrHfSeO2 crystal.

Results
The formation energy from raw total energies is -2.818 eV/atom. As for the density of states at the Fermi level: 0.0 states/eV/cell. Its space group is P4mm, No. 99. For the size of the total moment, the calculation gives 0.0000 μB/atom. The total energy comes out at -0.575 Ry per atom.

Unit cell a=4.009 b=4.009 c=6.084 alpha=90.00 beta=90.00 gamma=90.00
Sites, in units of the cell vectors:
Sr (0.000, 0.000, 0.000)
Hf (0.500, 0.500, 0.355)
Se (0.500, 0.500, 0.776)
O (0.000, 0.500, 0.267)
O (0.500, 0.000, 0.267)

=====

Record 10
## K2ErSbO6 (PBE-GGA)

Data for a relaxed K2ErSbO6 crystal.

Results
The formation energy from raw total energies is -1.853 eV/atom. As for the density of states at the Fermi level: 3.2 states/eV/cell. Its space group is Fm-3m, No. 225. For the size of the total moment, the calculation gives 0.2041 μB/atom. The total energy comes out at -0.435 Ry per atom.

Unit cell a=5.984 b=5.984 c=5.984 alpha=60.00 beta=60.00 gamma=60.00
Sites, in units of the cell vectors:
K (0.250, 0.250, 0.250)
K (0.750, 0.750, 0.750)
Er (0.000, 0.000, 0.000)
Sb (0.500, 0.500, 0.500)
O (0.264, 0.264, 0.736)
O (0.264, 0.736, 0.264)
O (0.264, 0.736, 0.736)
O (0.736, 0.264, 0.264)
O (0.736, 0.264, 0.736)
O (0.736, 0.736, 0.264)

=====

Record 11
## TmNbTcRu (PBE-GGA)

Data for a relaxed TmNbTcRu crystal.

Results
As for the density of states at the Fermi level: 3.2 states/eV/cell. Its space group is F-43m, No. 216. For the size of the total moment, the calculation gives 0.0000 μB/atom. The total energy comes out at -0.648 Ry per atom.

Unit cell a=4.612 b=4.612 c=4.612 alpha=60.00 beta=60.00 gamma=60.00
Sites, in units of the cell vectors:
Tm (0.000, 0.000, 0.000)
Nb (0.500, 0.500, 0.500)
Tc (0.750, 0.750, 0.750)
Ru (0.250, 0.250, 0.250)

=====

Record 12
## AlSn3S (PBE-GGA)

Data for a relaxed AlSn3S crystal.

Results
The formation energy from raw total energies is 0.414 eV/atom. As for the density of states at the Fermi level: 1.9 states/eV/cell. Its space group is Pm-3m, No. 221. For the size of the total moment, the calculation gives 0.0000 μB/atom. The total energy comes out at -0.262 Ry per atom.

Unit cell a=5.318 b=5.318 c=5.318 alpha=90.00 beta=90.00 gamma=90.00
Sites, in units of the cell vectors:
Al (0.000, 0.000, 0.000)
Sn (0.000, 0.500, 0.500)
Sn (0.500, 0.000, 0.500)
Sn (0.500, 0.500, 0.000)
S (0.500, 0.500, 0.500)